(1)
This record from the Alexandria database describes a geometry-optimized LaCeGa2Ge2 structure. The functional is GGA-PBE.

```
LaCeGa2Ge2
1.0
4.238 0.000 0.000
-2.119 3.670 0.000
0.000 0.000 8.974
La Ce Ga Ge
1 1 2 2
direct
0.000 0.000 0.000 La
0.000 0.000 0.500 Ce
0.333 0.667 0.783 Ga
0.667 0.333 0.217 Ga
0.333 0.667 0.293 Ge
0.667 0.333 0.707 Ge
```

Properties
Calculated volume   23.26 A^3/atom
DFT total energy   -5.048 eV per atom
Fermi-level density of states   1.087 states/eV per atom


(2)
This record from the Alexandria database describes a geometry-optimized La3DyTm structure. The functional is GGA-PBE.

```
La3DyTm
1.0
3.604 0.000 0.000
0.000 17.724 0.000
0.000 0.000 11.108
La Dy Tm
12 4 4
direct
0.248 0.075 0.058 La
0.248 0.075 0.442 La
0.248 0.425 0.558 La
0.248 0.425 0.942 La
0.252 0.750 0.000 La
0.252 0.750 0.500 La
0.748 0.250 0.000 La
0.748 0.250 0.500 La
0.752 0.575 0.058 La
0.752 0.575 0.442 La
0.752 0.925 0.558 La
0.752 0.925 0.942 La
0.254 0.603 0.750 Dy
0.254 0.897 0.250 Dy
0.746 0.103 0.750 Dy
0.746 0.397 0.250 Dy
0.247 0.227 0.250 Tm
0.247 0.273 0.750 Tm
0.753 0.727 0.250 Tm
0.753 0.773 0.750 Tm
```

Properties
Calculated volume   35.47 A^3/atom
Distance to the lowest polymorph of the same formula   107 meV per atom
Fermi-level density of states   1.538 states/eV per atom


(3)
This record from the Alexandria database describes a geometry-optimized LiMgPb structure. The functional is GGA-PBE.

```
LiMgPb
1.0
4.787 0.000 0.000
-2.393 4.145 0.000
0.000 0.000 3.494
Li Mg Pb
1 1 1
direct
0.000 0.000 0.000 Li
0.667 0.333 0.394 Mg
0.333 0.667 0.767 Pb
```

Properties
Calculated volume   23.11 A^3/atom
Distance to the lowest polymorph of the same formula   53 meV per atom
Fermi-level density of states   0.322 states/eV per atom


(4)
This record from the Alexandria database describes a geometry-optimized EuGd2Sc structure. The functional is GGA-PBE.

```
EuGd2Sc
1.0
0.000 3.986 3.986
3.986 0.000 3.986
3.986 3.986 0.000
Eu Gd Sc
1 2 1
direct
0.000 0.000 0.000 Eu
0.250 0.250 0.250 Gd
0.750 0.750 0.750 Gd
0.500 0.500 0.500 Sc
```

Properties
Calculated volume   31.65 A^3/atom
Distance to the lowest polymorph of the same formula   85 meV per atom
Fermi-level density of states   1.667 states/eV per atom